(1)
First-principles (SCAN) data for CsRePS2 at its PBEsol-relaxed geometry, as listed in Alexandria.

The structure belongs to space group P4/mmm (No. 123); the cell edges are 4.789, 4.789 and 4.662 Å and the angles 90.00°, 90.00° and 90.00°. Symmetry generates all atoms from Cs at (0.000, 0.000, 0.000), Re at (0.500, 0.500, 0.500), P at (0.500, 0.500, 0.000) and S at (0.000, 0.500, 0.500).

Its total energy is -27.79 eV/atom. For the density of states at the Fermi level, the calculation gives 3.25 states/eV/f.u. Its formation energy without anion corrections is -0.08 eV/atom. Its total magnetic moment is 0.00 μB per formula unit.

***

(2)
First-principles (SCAN) data for CsReP2S at its PBEsol-relaxed geometry, as listed in Alexandria.

The structure belongs to space group P4/mmm (No. 123); the cell edges are 4.627, 4.627 and 5.086 Å and the angles 90.00°, 90.00° and 90.00°. Symmetry generates all atoms from Cs at (0.000, 0.000, 0.000), Re at (0.500, 0.500, 0.500), P at (0.000, 0.500, 0.500) and S at (0.500, 0.500, 0.000).

Its total energy is -27.78 eV/atom. For the density of states at the Fermi level, the calculation gives 3.20 states/eV/f.u. Its formation energy without anion corrections is 0.09 eV/atom. Its total magnetic moment is 0.00 μB per formula unit.

***

(3)
First-principles (SCAN) data for CsP2Rh2 at its PBEsol-relaxed geometry, as listed in Alexandria.

The structure belongs to space group I4/mmm (No. 139); the cell edges are 3.884, 3.884 and 14.174 Å and the angles 90.00°, 90.00° and 90.00°. Symmetry generates all atoms from Cs at (0.000, 0.000, 0.000), P at (0.000, 0.000, 0.339) and Rh at (0.000, 0.500, 0.250).

Its total energy is -26.11 eV/atom. For the density of states at the Fermi level, the calculation gives 1.02 states/eV/f.u. The value obtained for the formation energy is -0.878 eV/atom. Its total magnetic moment is 0.00 μB per formula unit.

***

(4)
First-principles (SCAN) data for CsPRuS2 at its PBEsol-relaxed geometry, as listed in Alexandria.

The structure belongs to space group P4/mmm (No. 123); the cell edges are 5.252, 5.252 and 5.217 Å and the angles 90.00°, 90.00° and 90.00°. Symmetry generates all atoms from Cs at (0.000, 0.000, 0.000), P at (0.000, 0.000, 0.500), Ru at (0.500, 0.500, 0.500) and S at (0.000, 0.500, 0.000).

Its total energy is -18.17 eV/atom. For the density of states at the Fermi level, the calculation gives 2.76 states/eV/f.u. Its formation energy without anion corrections is 2.29 eV/atom. Its total magnetic moment is 5.12 μB per formula unit.

***

(5)
First-principles (SCAN) data for CsPS2 at its PBEsol-relaxed geometry, as listed in Alexandria.

The structure belongs to space group R-3m (No. 166, hexagonal axes); the cell edges are 5.8611, 5.8611 and 17.6271 Å and the angles 90.00°, 90.00° and 120.00°. Symmetry generates all atoms from Cs at (0.0000, 0.0000, 0.0000), P at (0.0000, 0.0000, 0.5000) and S at (0.0000, 0.0000, 0.3837).

Its total energy is -16.99 eV/atom. For the density of states at the Fermi level, the calculation gives 2.79 states/eV/f.u. Its formation energy without anion corrections is -0.12 eV/atom. Its total magnetic moment is 2.00 μB per formula unit.

***

(6)
First-principles (SCAN) data for CsSbP2S at its PBEsol-relaxed geometry, as listed in Alexandria.

The structure belongs to space group P4/mmm (No. 123); the cell edges are 5.154, 5.154 and 5.258 Å and the angles 90.00°, 90.00° and 90.00°. Symmetry generates all atoms from Cs at (0.000, 0.000, 0.000), Sb at (0.500, 0.500, 0.500), P at (0.000, 0.500, 0.500) and S at (0.500, 0.500, 0.000).

Its total energy is -20.77 eV/atom. For the density of states at the Fermi level, the calculation gives 2.07 states/eV/f.u. Its formation energy without anion corrections is 0.33 eV/atom. Its total magnetic moment is 2.60 μB per formula unit.

***

(7)
First-principles (SCAN) data for CsSrP2S at its PBEsol-relaxed geometry, as listed in Alexandria.

The structure belongs to space group P4/mmm (No. 123); the cell edges are 5.281, 5.281 and 5.356 Å and the angles 90.00°, 90.00° and 90.00°. Symmetry generates all atoms from Cs at (0.000, 0.000, 0.000), Sr at (0.500, 0.500, 0.500), P at (0.000, 0.500, 0.000) and S at (0.000, 0.000, 0.500).

Its total energy is -17.29 eV/atom. For the density of states at the Fermi level, the calculation gives 4.98 states/eV/f.u. Its formation energy without anion corrections is 0.81 eV/atom. Its total magnetic moment is 0.00 μB per formula unit.

***

(8)
First-principles (SCAN) data for CsTcP2S at its PBEsol-relaxed geometry, as listed in Alexandria.

The structure belongs to space group P4/mmm (No. 123); the cell edges are 5.221, 5.221 and 5.188 Å and the angles 90.00°, 90.00° and 90.00°. Symmetry generates all atoms from Cs at (0.000, 0.000, 0.000), Tc at (0.500, 0.500, 0.500), P at (0.000, 0.500, 0.000) and S at (0.000, 0.000, 0.500).

Its total energy is -18.20 eV/atom. For the density of states at the Fermi level, the calculation gives 4.02 states/eV/f.u. Its formation energy without anion corrections is 2.46 eV/atom. Its total magnetic moment is 3.57 μB per formula unit.